CdPd7Au4 | PBE-GGA | optimized geometry

Calculated values
* raw total energy: -4.114 eV/atom
* energy of formation from the pure elements: 1.01 eV per formula unit

a = 5.6444 Å, b = 5.6444 Å, c = 9.9180 Å
α = 116.09°, β = 116.09°, γ = 52.04°
Fractional coordinates of all 12 atoms:
Cd: 0.0000 0.0000 0.0000
Pd: 0.1134 0.1134 0.4579
Pd: 0.2879 0.2879 0.0841
Pd: 0.3453 0.3453 0.3818
Pd: 0.5000 0.5000 0.0000
Pd: 0.6547 0.6547 0.6182
Pd: 0.7121 0.7121 0.9159
Pd: 0.8866 0.8866 0.5421
Au: 0.1844 0.1844 0.7720
Au: 0.4145 0.4145 0.6890
Au: 0.5855 0.5855 0.3110
Au: 0.8156 0.8156 0.2280